Record 1
Entry from Alexandria: a relaxed structure of Tc2P2Au (PBE-GGA).

The structure in POSCAR format:
```
Tc2P2Au
1.0
7.015 0.000 0.000
0.000 7.015 0.000
0.000 0.000 2.968
P Au Tc
4 2 4
direct
0.145 0.645 0.500 P
0.645 0.855 0.500 P
0.855 0.355 0.500 P
0.355 0.145 0.500 P
0.000 0.000 0.000 Au
0.500 0.500 0.000 Au
0.356 0.856 0.000 Tc
0.856 0.644 0.000 Tc
0.644 0.144 0.000 Tc
0.144 0.356 0.000 Tc
```

Output
- size of the total moment (μB/cell) = 0.00
- energy of formation (eV per atom) = -0.1241
- total DFT energy (no corrections) (eV/f.u.) = -35.4
- DOS at the Fermi energy (states/eV/atom) = 0.73
- distance to the lowest polymorph of the same formula (meV/atom) = 35.4

Record 2
Entry from Alexandria: a relaxed structure of Ti2BeN (PBE-GGA).

The structure in POSCAR format:
```
Ti2BeN
1.0
2.982 0.000 0.000
1.491 2.582 0.000
1.491 0.861 6.121
Be N Ti
1 1 2
direct
0.000 0.000 0.000 Be
0.500 0.500 0.500 N
0.231 0.231 0.306 Ti
0.769 0.769 0.694 Ti
```

Output
- size of the total moment (μB/cell) = 0.00
- total DFT energy (no corrections) (eV/f.u.) = -31.3
- DOS at the Fermi energy (states/eV/atom) = 0.74
- formation energy (no corrections) (eV/f.u.) = -3.5
- distance to the lowest polymorph of the same formula (meV/atom) = 55.1

Record 3
Entry from Alexandria: a relaxed structure of Zn3Sn3Hg (PBE-GGA).

The structure in POSCAR format:
```
Zn3Sn3Hg
1.0
-1.375 4.168 -6.154
2.674 -5.562 -4.365
-6.935 -2.971 -0.462
Zn Hg Sn
6 2 6
direct
0.250 0.000 0.500 Zn
0.000 0.500 0.250 Zn
0.500 0.750 0.000 Zn
0.750 0.000 0.500 Zn
0.000 0.500 0.750 Zn
0.500 0.250 0.000 Zn
0.500 0.500 0.500 Hg
0.000 0.000 0.000 Hg
0.000 0.250 0.500 Sn
0.000 0.750 0.500 Sn
0.500 0.000 0.750 Sn
0.750 0.500 0.000 Sn
0.500 0.000 0.250 Sn
0.250 0.500 0.000 Sn
```

Output
- size of the total moment (μB/cell) = 0.00
- energy of formation (eV per atom) = 0.3417
- total DFT energy (no corrections) (eV/f.u.) = -13.7
- DOS at the Fermi energy (states/eV/atom) = 0.51

Record 4
Entry from Alexandria: a relaxed structure of VCI3 (PBE-GGA).

The structure in POSCAR format:
```
VCI3
1.0
-1.384 4.556 1.671
-2.406 -2.154 3.878
4.215 0.267 2.762
I C V
3 1 1
direct
0.000 0.500 0.000 I
0.000 0.000 0.500 I
0.500 0.000 0.000 I
0.000 0.000 0.000 C
0.500 0.500 0.500 V
```

Output
- size of the total moment (μB/cell) = 3.06
- total DFT energy (no corrections) (eV/f.u.) = -16.1
- DOS at the Fermi energy (states/eV/atom) = 1.55
- formation energy (no corrections) (eV/f.u.) = 6.8
- distance to the lowest polymorph of the same formula (meV/atom) = 34.8

Record 5
Entry from Alexandria: a relaxed structure of Na2Ho2B2TeO10 (PBE-GGA).

The structure in POSCAR format:
```
Na2Ho2B2TeO10
1.0
10.015 0.000 0.000
0.000 6.346 -0.027
0.000 1.619 6.585
Na Ho B Te O
4 4 4 2 20
direct
0.612 0.413 0.169 Na
0.112 0.587 0.331 Na
0.388 0.587 0.831 Na
0.888 0.413 0.669 Na
0.834 0.874 0.023 Ho
0.334 0.126 0.477 Ho
0.166 0.126 0.977 Ho
0.666 0.874 0.523 Ho
0.401 0.663 0.369 B
0.901 0.337 0.131 B
0.599 0.337 0.631 B
0.099 0.663 0.869 B
0.500 0.000 0.000 Te
0.000 0.000 0.500 Te
0.829 0.520 0.059 O
0.329 0.480 0.441 O
0.171 0.480 0.941 O
0.671 0.520 0.559 O
0.651 0.006 0.178 O
0.151 0.994 0.322 O
0.349 0.994 0.822 O
0.849 0.006 0.678 O
0.439 0.707 0.161 O
0.939 0.293 0.339 O
0.561 0.293 0.839 O
0.061 0.707 0.661 O
0.939 0.199 0.012 O
0.439 0.801 0.488 O
0.061 0.801 0.988 O
0.561 0.199 0.512 O
0.382 0.160 0.137 O
0.882 0.840 0.363 O
0.618 0.840 0.863 O
0.118 0.160 0.637 O
```

Output
- size of the total moment (μB/cell) = 0.00
- total DFT energy (no corrections) (eV/f.u.) = -119.5
- DOS at the Fermi energy (states/eV/atom) = 0.00
- formation energy (no corrections) (eV/f.u.) = -41.6

Record 6
Entry from Alexandria: a relaxed structure of Mn2CoAg (PBE-GGA).

The structure in POSCAR format:
```
Mn2CoAg
1.0
8.669 -0.126 -0.074
8.261 2.629 -0.074
8.261 1.222 2.330
Ag Co Mn
1 1 2
direct
0.750 0.750 0.750 Ag
0.250 0.250 0.250 Co
0.991 0.991 0.991 Mn
0.509 0.509 0.509 Mn
```

Output
- size of the total moment (μB/cell) = 8.55
- energy of formation (eV per atom) = 0.3046
- total DFT energy (no corrections) (eV/f.u.) = -27.1
- DOS at the Fermi energy (states/eV/atom) = 0.66
- distance to the lowest polymorph of the same formula (meV/atom) = 138.9

Record 7
Entry from Alexandria: a relaxed structure of Ag3RhS (PBE-GGA).

The structure in POSCAR format:
```
Ag3RhS
1.0
-2.600 -1.476 3.577
-1.601 -3.513 -2.613
3.523 -2.686 1.453
S Rh Ag
1 1 3
direct
0.000 0.000 0.000 S
0.500 0.500 0.500 Rh
0.000 0.500 0.000 Ag
0.000 0.000 0.500 Ag
0.500 0.000 0.000 Ag
```

Output
- size of the total moment (μB/cell) = 0.00
- total DFT energy (no corrections) (eV/f.u.) = -16.5
- DOS at the Fermi energy (states/eV/atom) = 0.81
- formation energy (no corrections) (eV/f.u.) = 3.6
- distance to the lowest polymorph of the same formula (meV/atom) = 0.0